No. 1
Density functional theory data (PBE) for a relaxed structure of MgNbNi14.

## Properties
- space-group type = P4/mmm
- formation enthalpy at 0 K (eV per atom) = -0.0751

```
MgNbNi14
1.0
5.087 0.000 0.000
0.000 5.087 0.000
0.000 0.000 7.165
Mg Nb Ni
1 1 14
Cartesian
0.000 0.000 0.000
2.543 2.543 0.000
0.000 0.000 3.583
0.000 2.543 0.000
0.000 2.543 3.583
1.276 1.276 1.870
1.276 1.276 5.296
1.276 3.811 1.870
1.276 3.811 5.296
2.543 0.000 0.000
2.543 0.000 3.583
2.543 2.543 3.583
3.811 1.276 1.870
3.811 1.276 5.296
3.811 3.811 1.870
3.811 3.811 5.296
```


No. 2
Density functional theory data (PBE) for a relaxed structure of MgNb3Ni.

## Properties
- space-group type = Pm-3m
- formation enthalpy at 0 K (eV per atom) = 0.7452

```
MgNb3Ni
1.0
4.677 0.000 0.000
0.000 4.677 0.000
0.000 0.000 4.677
Mg Nb Ni
1 3 1
Cartesian
0.000 0.000 0.000
0.000 2.339 2.339
2.339 0.000 2.339
2.339 2.339 0.000
2.339 2.339 2.339
```


No. 3
Density functional theory data (PBE) for a relaxed structure of Mg2Nb2Ni15.

## Properties
- space-group type = R-3m
- formation enthalpy at 0 K (eV per atom) = -0.0604

```
Mg2Nb2Ni15
1.0
4.135 2.387 4.118
-4.135 2.387 4.118
0.000 -4.775 4.118
Mg Nb Ni
2 2 15
Cartesian
0.000 0.000 1.795
0.000 0.000 10.559
0.000 0.000 4.884
0.000 0.000 7.469
-2.068 -1.194 4.118
0.000 -2.428 3.984
-2.103 1.214 3.984
-1.271 -2.201 6.177
-2.542 0.000 6.177
-2.103 -1.214 8.369
-2.068 1.194 8.236
1.271 -2.201 6.177
0.000 2.387 4.118
-1.271 2.201 6.177
2.103 1.214 3.984
2.542 0.000 6.177
1.271 2.201 6.177
2.103 -1.214 8.369
0.000 2.428 8.369
```


No. 4
Density functional theory data (PBE) for a relaxed structure of MgNb3Ni.

## Properties
- space-group type = Pm-3m
- formation enthalpy at 0 K (eV per atom) = 1.9481

```
MgNb3Ni
1.0
4.688 0.000 0.000
0.000 4.688 0.000
0.000 0.000 4.688
Mg Nb Ni
1 3 1
Cartesian
0.000 0.000 0.000
0.000 0.000 2.344
0.000 2.344 0.000
2.344 0.000 0.000
2.344 2.344 2.344
```


No. 5
Density functional theory data (PBE) for a relaxed structure of Mg14NbNi.

## Properties
- space-group type = P-6m2
- formation enthalpy at 0 K (eV per atom) = 0.0687

```
Mg14NbNi
1.0
6.250 0.000 0.000
-3.125 5.413 0.000
0.000 0.000 9.834
Mg Nb Ni
14 1 1
Cartesian
0.000 0.000 2.383
0.000 0.000 7.451
-1.475 2.757 2.528
-1.475 2.757 7.305
1.544 0.892 4.917
1.600 0.924 0.000
1.475 2.757 2.528
1.475 2.757 7.305
0.000 5.312 2.528
0.000 5.312 7.305
4.650 0.924 0.000
3.125 3.565 0.000
4.706 0.892 4.917
3.125 3.629 4.917
0.000 3.608 0.000
0.000 3.608 4.917
```


No. 6
Density functional theory data (PBE) for a relaxed structure of MgNbNi.

## Properties
- space-group type = I4mm
- formation enthalpy at 0 K (eV per atom) = -0.0133

```
MgNbNi
1.0
2.840 0.000 0.000
0.000 2.840 0.000
0.000 0.000 11.901
Mg Nb Ni
2 2 2
Cartesian
0.000 0.000 0.000
1.420 1.420 5.951
0.000 0.000 3.511
1.420 1.420 9.461
0.000 0.000 7.720
1.420 1.420 1.769
```


No. 7
Density functional theory data (PBE) for a relaxed structure of MgNbNiOs.

## Properties
- space-group type = F-43m
- formation enthalpy at 0 K (eV per atom) = -0.1250

```
MgNbNiOs
1.0
6.234 0.000 0.000
0.000 6.234 0.000
0.000 0.000 6.234
Mg Nb Ni Os
4 4 4 4
Cartesian
0.000 0.000 0.000
0.000 3.117 3.117
3.117 0.000 3.117
3.117 3.117 0.000
0.000 0.000 3.117
0.000 3.117 0.000
3.117 0.000 0.000
3.117 3.117 3.117
1.559 1.559 1.559
1.559 4.676 4.676
4.676 1.559 4.676
4.676 4.676 1.559
1.559 1.559 4.676
1.559 4.676 1.559
4.676 1.559 1.559
4.676 4.676 4.676
```


No. 8
Density functional theory data (PBE) for a relaxed structure of MgNbNi2P.

## Properties
- space-group type = P4/mmm
- formation enthalpy at 0 K (eV per atom) = 1.4637

```
MgNbNi2P
1.0
4.494 0.000 0.000
0.000 4.494 0.000
0.000 0.000 5.249
Mg Nb Ni P
1 1 2 1
Cartesian
0.000 0.000 0.000
0.000 0.000 2.625
0.000 2.247 2.625
2.247 0.000 2.625
2.247 2.247 0.000
```


No. 9
Density functional theory data (PBE) for a relaxed structure of Mg2NbReNi.

## Properties
- space-group type = P4/mmm
- formation enthalpy at 0 K (eV per atom) = 1.4947

```
Mg2NbReNi
1.0
4.852 0.000 0.000
0.000 4.852 0.000
0.000 0.000 4.444
Mg Nb Re Ni
2 1 1 1
Cartesian
0.000 2.426 0.000
2.426 0.000 0.000
0.000 0.000 2.222
2.426 2.426 0.000
2.426 2.426 2.222
```


No. 10
Density functional theory data (PBE) for a relaxed structure of MgNb2NiRu.

## Properties
- space-group type = P4/mmm
- formation enthalpy at 0 K (eV per atom) = 1.0696

```
MgNb2NiRu
1.0
4.749 0.000 0.000
0.000 4.749 0.000
0.000 0.000 4.809
Mg Nb Ni Ru
1 2 1 1
Cartesian
0.000 0.000 0.000
0.000 2.375 2.405
2.375 0.000 2.405
2.375 2.375 0.000
0.000 0.000 2.405
```


No. 11
Density functional theory data (PBE) for a relaxed structure of MgNbNiS2.

## Properties
- uncorrected formation energy (kJ per mole of atoms) = -2.85
- space-group type = P4/mmm

```
MgNbNiS2
1.0
4.758 0.000 0.000
0.000 4.758 0.000
0.000 0.000 4.679
Mg Nb Ni S
1 1 1 2
Cartesian
0.000 0.000 0.000
2.379 2.379 2.340
2.379 2.379 0.000
0.000 2.379 2.340
2.379 0.000 2.340
```


No. 12
Density functional theory data (PBE) for a relaxed structure of MgNbTcNi.

## Properties
- space-group type = F-43m
- formation enthalpy at 0 K (eV per atom) = -0.0565

```
MgNbTcNi
1.0
6.242 0.000 0.000
0.000 6.242 0.000
0.000 0.000 6.242
Mg Nb Tc Ni
4 4 4 4
Cartesian
0.000 0.000 0.000
0.000 3.121 3.121
3.121 0.000 3.121
3.121 3.121 0.000
0.000 0.000 3.121
0.000 3.121 0.000
3.121 0.000 0.000
3.121 3.121 3.121
1.561 1.561 4.682
1.561 4.682 1.561
4.682 1.561 1.561
4.682 4.682 4.682
1.561 1.561 1.561
1.561 4.682 4.682
4.682 1.561 4.682
4.682 4.682 1.561
```


The records above yield total magnetization values of 5.86; 0.00; 2.17; 0.00; 0.00; 0.00; 0.00; 0.46; 0.00; 0.00; 0.00; 0.00 μB per cell, respectively.
The records above yield energy values of -5.86; -6.77; -5.85; -5.57; -2.32; -5.83; -7.29; -4.26; -4.80; -6.29; -5.17; -7.01 eV per atom, respectively.